Entry from the Alexandria database: SmFeO3 after structural relaxation (PBE with a Hubbard U).

abc: 6.205 6.205 7.308
angles: 119.50 119.50 38.22
Fractional positions:
Sm 0.106 0.106 0.308
Sm 0.894 0.894 0.692
Fe 0.321 0.321 0.967
Fe 0.679 0.679 0.033
O 0.173 0.173 0.033
O 0.247 0.247 0.658
O 0.494 0.494 0.217
O 0.506 0.506 0.783
O 0.753 0.753 0.342
O 0.827 0.827 0.967

Computed properties:
**Symmetry**: No. 12
**Total magnetic moment**: 5.00 μB/f.u.
**Calculated total energy**: -7.340 eV per atom